Sr2GePdS | PBE | optimized geometry

Results
**DOS(E_F)**: 0.599 states/eV/atom
**Energy relative to the elements, uncorrected**: -0.426 eV per atom
**Magnetization**: 0.0 μB/f.u.

Unit cell a=5.5929 b=5.5929 c=4.8449 alpha=90.00 beta=90.00 gamma=90.00
Space group P4/mmm (No. 123)
One atom of each set of equivalent atoms:
1 Sr 0.0000 0.5000 0.0000
2 Ge 0.0000 0.0000 0.5000
3 Pd 0.5000 0.5000 0.5000
4 S 0.0000 0.0000 0.0000